(1)
Compound: BaSc4W
Source: Alexandria
Functional: SCAN
Structure: PBEsol geometry

Values from the calculation:
Space group   F-43m
Density of states at the Fermi level   7.00 states/eV/cell
Final energy   -160.31 eV for the cell shown

Unit cell a=5.840 b=5.840 c=5.840 alpha=60.00 beta=60.00 gamma=60.00
Each line ends with the local moment (μB).
Fractional coordinates of all 6 atoms:
Ba: 0.000 0.000 0.000  0.16
Sc: 0.379 0.379 0.379  0.01
Sc: 0.379 0.379 0.864  0.01
Sc: 0.864 0.379 0.379  0.01
Sc: 0.379 0.864 0.379  0.01
W: 0.750 0.750 0.750  0.89



(2)
Compound: CoRhAu2
Source: Alexandria
Functional: SCAN
Structure: PBEsol geometry

Values from the calculation:
Space group   P4mm
Density of states at the Fermi level   2.06 states/eV/cell
Energy relative to the lowest polymorph listed for this composition   0.0000 eV per atom
Final energy   -189.16 eV for the cell shown

Unit cell a=2.763 b=2.763 c=7.629 alpha=90.00 beta=90.00 gamma=90.00
Each line ends with the local moment (μB).
Fractional coordinates of all 4 atoms:
Au: 0.000 0.000 0.988  0.01
Au: 0.500 0.500 0.275  0.00
Rh: 0.500 0.500 0.719  0.89
Co: 0.000 0.000 0.519  2.11